This record from Alexandria describes crystalline CsK6In4 at its relaxed geometry. The functional is GGA-PBE.

a = 9.372 Å, b = 9.372 Å, c = 9.372 Å
α = 121.35°, β = 121.35°, γ = 87.67°
Fractional coordinates of all 11 atoms:
Cs 0.000 0.000 0.000
K 0.000 0.500 0.500
K 0.090 0.473 0.000
K 0.473 0.090 0.000
K 0.500 0.000 0.500
K 0.527 0.527 0.617
K 0.910 0.910 0.383
In 0.301 0.301 0.718
In 0.417 0.699 0.000
In 0.583 0.583 0.282
In 0.699 0.417 0.000

The density of states at the Fermi level comes out at 6.066 states/eV/f.u. As for the space group: No. 121. The value obtained for the total magnetic moment is 0.0 μB per formula unit. For the formation energy from the elements, the calculation gives -0.079 eV/atom.